PBE Pr12Ho6Al, relaxed; total magnetic moment = 0.00 μB per formula unit; Fermi-level density of states = 30.2 states/eV/cell; formation enthalpy at 0 K = 0.08 eV/atom; electronic total energy = -87.1 eV/cell
1.0
6.044 3.489 5.120
-6.044 3.489 5.120
0.000 -6.979 5.120
Pr Ho Al
12 6 1
direct
0.036 0.289 0.934
0.066 0.964 0.711
0.136 0.328 0.479
0.289 0.934 0.036
0.328 0.479 0.136
0.479 0.136 0.328
0.521 0.864 0.672
0.672 0.521 0.864
0.711 0.066 0.964
0.864 0.672 0.521
0.934 0.036 0.289
0.964 0.711 0.066
0.227 0.601 0.755
0.245 0.773 0.399
0.399 0.245 0.773
0.601 0.755 0.227
0.755 0.227 0.601
0.773 0.399 0.245
0.500 0.500 0.500

PBE ScCoSi, relaxed; total magnetic moment = 0.44 μB per formula unit; Fermi-level density of states = 2.6 states/eV/cell; E_form (uncorrected) = 7.88 kcal/mol of atoms; electronic total energy = -17.8 eV/cell
1.0
0.000 3.006 3.006
3.006 0.000 3.006
3.006 3.006 0.000
Sc Co Si
1 1 1
direct
0.000 0.000 0.000
0.750 0.750 0.750
0.250 0.250 0.250

PBE AcPrPuGa, relaxed; total magnetic moment = 6.98 μB per formula unit; Fermi-level density of states = 13.9 states/eV/cell; formation enthalpy at 0 K = 0.13 eV/atom; electronic total energy = -25.7 eV/cell
1.0
0.000 3.912 3.912
3.912 0.000 3.912
3.912 3.912 0.000
Ac Pr Pu Ga
1 1 1 1
direct
0.000 0.000 0.000
0.750 0.750 0.750
0.250 0.250 0.250
0.500 0.500 0.500

PBE Re2TeW, relaxed; total magnetic moment = 0.00 μB per formula unit; Fermi-level density of states = 11.2 states/eV/cell; E_form (uncorrected) = 33.40 kcal/mol of atoms; electronic total energy = -70.4 eV/cell
1.0
-2.897 2.897 5.971
2.897 -2.897 5.971
2.897 2.897 -5.971
Re Te W
4 2 2
direct
0.105 0.625 0.980
0.375 0.355 0.480
0.645 0.125 0.020
0.875 0.895 0.520
0.250 0.750 0.500
0.500 0.500 0.000
0.000 0.000 0.000
0.750 0.250 0.500

PBE SmDy3, relaxed; total magnetic moment = 0.00 μB per formula unit; Fermi-level density of states = 6.8 states/eV/cell; formation enthalpy at 0 K = 0.02 eV/atom; E above lowest polymorph = 0.01 eV/f.u.; electronic total energy = -18.5 eV/cell
1.0
3.638 0.000 0.000
0.000 5.675 0.000
0.000 0.000 6.295
Sm Dy
1 3
direct
0.000 0.000 0.000
0.000 0.500 0.335
0.500 0.000 0.501
0.500 0.500 0.834

PBE LaTb3Al8, relaxed; total magnetic moment = 0.00 μB per formula unit; Fermi-level density of states = 5.9 states/eV/cell; formation enthalpy at 0 K = -0.50 eV/atom; E above lowest polymorph = 0.11 eV/f.u.; electronic total energy = -54.7 eV/cell
1.0
5.612 0.000 0.000
-2.806 4.861 0.000
0.000 0.000 9.240
La Tb Al
1 3 8
direct
0.000 0.000 0.000
0.000 0.000 0.363
0.667 0.333 0.499
0.667 0.333 0.863
0.162 0.324 0.678
0.162 0.838 0.678
0.333 0.667 0.435
0.333 0.667 0.930
0.505 0.009 0.187
0.505 0.495 0.187
0.676 0.838 0.678
0.991 0.495 0.187

PBE GaHg3Te4, relaxed; total magnetic moment = 0.00 μB per formula unit; Fermi-level density of states = 4.7 states/eV/cell; E_form (uncorrected) = -3.24 kcal/mol of atoms; E above lowest polymorph = 0.12 eV/f.u.; electronic total energy = -35.2 eV/cell
1.0
9.743 0.000 0.000
0.000 7.879 0.000
0.000 0.000 7.545
Ga Hg Te
2 6 8
direct
0.000 0.176 0.000
0.500 0.824 0.500
0.000 0.818 0.516
0.247 0.679 0.002
0.253 0.321 0.502
0.500 0.182 0.016
0.747 0.321 0.502
0.753 0.679 0.002
0.000 0.178 0.641
0.000 0.852 0.117
0.234 0.323 0.114
0.266 0.677 0.614
0.500 0.148 0.617
0.500 0.822 0.141
0.734 0.677 0.614
0.766 0.323 0.114

PBE Y2P2Pb, relaxed; total magnetic moment = 0.00 μB per formula unit; Fermi-level density of states = 4.6 states/eV/cell; formation enthalpy at 0 K = -0.75 eV/atom; E above lowest polymorph = 0.93 eV/f.u.; electronic total energy = -31.2 eV/cell
1.0
-2.695 2.695 4.204
2.695 -2.695 4.204
2.695 2.695 -4.204
Y P Pb
2 2 1
direct
0.250 0.750 0.500
0.750 0.250 0.500
0.140 0.140 0.000
0.860 0.860 0.000
0.500 0.500 0.000

PBE IrAuBr2, relaxed; total magnetic moment = 0.00 μB per formula unit; Fermi-level density of states = 1.7 states/eV/cell; E_form (uncorrected) = 13.23 kcal/mol of atoms; E above lowest polymorph = 1.84 eV/f.u.; electronic total energy = -13.2 eV/cell
1.0
1.847 1.067 7.713
-1.847 1.067 7.713
0.000 -2.133 7.713
Ir Au Br
1 1 2
direct
0.000 0.000 0.000
0.500 0.500 0.500
0.272 0.272 0.272
0.728 0.728 0.728

PBE BaEuPt4, relaxed; total magnetic moment = 7.04 μB per formula unit; Fermi-level density of states = 14.7 states/eV/cell; formation enthalpy at 0 K = -0.82 eV/atom; electronic total energy = -41.3 eV/cell
1.0
0.000 3.967 3.967
3.967 0.000 3.967
3.967 3.967 0.000
Ba Eu Pt
1 1 4
direct
0.000 0.000 0.000
0.750 0.750 0.750
0.375 0.375 0.375
0.375 0.375 0.874
0.375 0.874 0.375
0.874 0.375 0.375

PBE SmSc2CdHg4, relaxed; total magnetic moment = 0.00 μB per formula unit; Fermi-level density of states = 6.0 states/eV/cell; formation enthalpy at 0 K = -0.33 eV/atom; electronic total energy = -22.2 eV/cell
1.0
2.480 1.432 8.829
-2.480 1.432 8.829
0.000 -2.864 8.829
Sm Sc Cd Hg
1 2 1 4
direct
0.000 0.000 0.000
0.240 0.240 0.240
0.760 0.760 0.760
0.500 0.500 0.500
0.123 0.123 0.123
0.382 0.382 0.382
0.618 0.618 0.618
0.877 0.877 0.877

PBE Li4HSe, relaxed; total magnetic moment = 0.00 μB per formula unit; Fermi-level density of states = 1.0 states/eV/cell; electronic total energy = -17.7 eV/cell
1.0
3.986 0.000 0.000
0.000 3.986 0.000
0.000 0.000 5.805
Li H Se
4 1 1
direct
0.000 0.500 0.225
0.000 0.500 0.775
0.500 0.000 0.225
0.500 0.000 0.775
0.000 0.000 0.000
0.500 0.500 0.500